w:
Entry from Alexandria via LeMat-Bulk: Tb8Nd3Y2 after structural relaxation (PBE-GGA).

abc: 6.1570 8.4522 9.7524
angles: 64.67 75.92 71.12
Space group P-1 (No. 2)
Symmetry-distinct sites (fractional):
Tb 0.1347 0.0359 0.3043
Tb 0.2185 0.6469 0.2395
Tb 0.2389 0.5817 0.6120
Tb 0.2945 0.1359 0.9036
Nd 0.0000 0.5000 0.0000
Nd 0.4298 0.7293 0.8515
Y 0.3095 0.1943 0.5320

Values from the calculation:
N(E_F)   1.591 states/eV per atom
V   33.1 Å³/atom

***

x:
Entry from Alexandria via LeMat-Bulk: Tb8Nd3Y2 after structural relaxation (PBE-GGA).

abc: 20.2257 7.7295 5.6864
angles: 90.00 90.04 90.00
Space group C2/m (No. 12)
Symmetry-distinct sites (fractional):
Tb 0.1083 0.2089 0.0003
Tb 0.1348 0.5000 0.4995
Tb 0.1707 0.0000 0.5010
Nd 0.0000 0.2086 0.5000
Nd 0.0000 0.5000 0.0000
Y 0.2415 0.5000 0.9988

Values from the calculation:
N(E_F)   1.696 states/eV per atom
V   34.2 Å³/atom

***

It turns out w is the most stable, with the second structure 16.8 kJ/mol of atoms higher.

***

w:
Entry from Alexandria via LeMat-Bulk: Tb2Nd3Y6 after structural relaxation (PBE-GGA).

abc: 3.6031 3.6031 96.4363
angles: 90.00 90.00 120.00
Space group R-3m (No. 166, hexagonal axes)
Symmetry-distinct sites (fractional):
Tb 0.0000 0.0000 0.0450
Nd 0.0000 0.0000 0.2278
Nd 0.0000 0.0000 0.5000
Y 0.0000 0.0000 0.1361
Y 0.0000 0.0000 0.3183
Y 0.0000 0.0000 0.4083

Values from the calculation:
N(E_F)   1.300 states/eV per atom
V   32.9 Å³/atom

***

x:
Entry from Alexandria via LeMat-Bulk: Tb2Nd3Y6 after structural relaxation (PBE-GGA).

abc: 6.2129 10.7894 11.6654
angles: 90.00 100.44 90.00
Space group C2/m (No. 12)
Symmetry-distinct sites (fractional):
Tb 0.0000 0.1661 0.0000
Nd 0.0000 0.0000 0.5000
Nd 0.0000 0.3357 0.5000
Y 0.2479 0.3338 0.2458
Y 0.2492 0.0000 0.2463

Values from the calculation:
N(E_F)   1.777 states/eV per atom
V   35.0 Å³/atom

***

It turns out w is the most stable, with the second structure 17.8 kJ/mol of atoms higher.